No. 1
Crystalline AcSmLuMg at its relaxed geometry, computed with PBE-GGA.

Cell lengths 5.7007, 5.7007, 5.7007 Å; angles 60.00, 60.00, 60.00 degrees
Last column: nearest neighbours and their distance in Å.
Fractional coordinates of all 4 atoms:
Ac (0.0000, 0.0000, 0.0000)  4 Lu 3.49, 4 Mg 3.49
Lu (0.7500, 0.7500, 0.7500)  4 Sm 3.49, 4 Ac 3.49
Mg (0.2500, 0.2500, 0.2500)  4 Ac 3.49, 4 Sm 3.49
Sm (0.5000, 0.5000, 0.5000)  4 Mg 3.49, 4 Lu 3.49

Summary:
formation energy	35	meV per atom
crystal system	cubic
calculated total energy	-3.7011	eV/atom
M_tot	0.0	Bohr magnetons per cell



No. 2
Crystalline Tc2IrBr at its relaxed geometry, computed with PBE-GGA.

Cell lengths 2.8529, 3.5236, 6.5949 Å; angles 90.00, 90.00, 90.00 degrees
Last column: nearest neighbours and their distance in Å.
Fractional coordinates of all 4 atoms:
Ir (0.5000, 0.5000, 0.7500)  8 Tc 2.66, 2 Ir 2.85
Tc (0.0000, 0.0000, 0.9599)  4 Ir 2.66, 3 Tc 2.77-2.85, 4 Br 2.97
Tc (0.0000, 0.0000, 0.5401)  4 Ir 2.66, 3 Tc 2.77-2.85, 4 Br 2.97
Br (0.5000, 0.5000, 0.2500)  2 Br 2.85, 8 Tc 2.97

Summary:
crystal system	orthorhombic
uncorrected formation energy	642	meV/atom
calculated total energy	-7.1740	eV/atom
M_tot	0.0	Bohr magnetons per cell
energy above the lowest structure with this stoichiometry	159	meV/atom



No. 3
Crystalline Ca5PuP5 at its relaxed geometry, computed with PBE-GGA.

Cell lengths 5.6898, 7.2165, 8.1775 Å; angles 106.90, 90.00, 113.22 degrees
Last column: nearest neighbours and their distance in Å.
Fractional coordinates of all 11 atoms:
Ca (0.6882, 0.3765, 0.3251)  5 P 2.85-3.02
Ca (0.6790, 0.3580, 0.8574)  5 P 2.85-2.98
Ca (0.0000, 0.0000, 0.5000)  4 P 2.78-2.90
Ca (0.3210, 0.6420, 0.1426)  5 P 2.85-2.98
Ca (0.3118, 0.6235, 0.6749)  5 P 2.85-3.02
Pu (0.0000, 0.0000, 0.0000)  6 P 2.73-2.84
P (0.8530, 0.7059, 0.1704)  1 Pu 2.73, 5 Ca 2.78-2.87
P (0.8425, 0.6849, 0.6782)  1 Pu 2.80, 5 Ca 2.87-2.98
P (0.5000, 0.0000, 0.0000)  2 Pu 2.84, 4 Ca 2.96-3.02
P (0.1575, 0.3151, 0.3218)  1 Pu 2.80, 5 Ca 2.87-2.98
P (0.1470, 0.2941, 0.8296)  1 Pu 2.73, 5 Ca 2.78-2.87

Summary:
formation energy	-1020	meV per atom
crystal system	monoclinic
calculated total energy	-5.6920	eV/atom
M_tot	3.1	Bohr magnetons per cell



No. 4
Crystalline Tl2FeAu at its relaxed geometry, computed with PBE-GGA.

Cell lengths 3.1992, 3.1992, 8.1442 Å; angles 90.00, 90.00, 90.44 degrees
Last column: nearest neighbours and their distance in Å.
Fractional coordinates of all 4 atoms:
Au (0.5000, 0.5000, 0.2500)  8 Tl 3.13-3.14, 4 Au 3.20
Fe (0.5000, 0.5000, 0.7500)  8 Tl 2.95-2.96, 4 Fe 3.20
Tl (0.0000, 0.0000, 0.9831)  4 Fe 2.95-2.96, 4 Au 3.13-3.14, 4 Tl 3.20
Tl (0.0000, 0.0000, 0.5169)  4 Fe 2.95-2.96, 4 Au 3.13-3.14, 4 Tl 3.20

Summary:
formation energy	461	meV per atom
crystal system	orthorhombic
calculated total energy	-3.6575	eV/atom
M_tot	3.0	Bohr magnetons per cell
energy above the lowest structure with this stoichiometry	177	meV/atom



No. 5
Crystalline HoTlPbI6 at its relaxed geometry, computed with PBE-GGA.

Cell lengths 8.0829, 8.0829, 15.1765 Å; angles 90.00, 90.00, 120.00 degrees
Last column: nearest neighbours and their distance in Å.
Fractional coordinates of all 18 atoms:
Ho (0.6667, 0.3333, 0.2500)  6 I 3.04
Ho (0.3333, 0.6667, 0.7500)  6 I 3.04
Tl (0.0000, 0.0000, 0.0000)  6 I 3.55
Tl (0.0000, 0.0000, 0.5000)  6 I 3.55
Pb (0.3333, 0.6667, 0.2500)  6 I 3.25
Pb (0.6667, 0.3333, 0.7500)  6 I 3.25
I (0.6484, 0.6282, 0.1326)  1 Ho 3.04, 1 Pb 3.25
I (0.9798, 0.3516, 0.1326)  1 Ho 3.04, 1 Pb 3.25
I (0.3516, 0.9798, 0.6326)  1 Ho 3.04, 1 Pb 3.25
I (0.0202, 0.6484, 0.8674)  1 Ho 3.04, 1 Pb 3.25
I (0.3718, 0.3516, 0.3674)  1 Ho 3.04, 1 Pb 3.25
I (0.9798, 0.6282, 0.3674)  1 Ho 3.04, 1 Pb 3.25
I (0.6282, 0.9798, 0.8674)  1 Ho 3.04, 1 Pb 3.25
I (0.6484, 0.0202, 0.3674)  1 Ho 3.04, 1 Pb 3.25
I (0.0202, 0.3718, 0.6326)  1 Ho 3.04, 1 Pb 3.25
I (0.3718, 0.0202, 0.1326)  1 Ho 3.04, 1 Pb 3.25
I (0.6282, 0.6484, 0.6326)  1 Ho 3.04, 1 Pb 3.25
I (0.3516, 0.3718, 0.8674)  1 Ho 3.04, 1 Pb 3.25

Summary:
crystal system	trigonal
uncorrected formation energy	-980	meV/atom
calculated total energy	-3.1969	eV/atom
M_tot	0.0	Bohr magnetons per cell



No. 6
Crystalline ScTaFeNi at its relaxed geometry, computed with PBE-GGA.

Cell lengths 4.3741, 4.3741, 4.3741 Å; angles 60.00, 60.00, 60.00 degrees
Last column: nearest neighbours and their distance in Å.
Fractional coordinates of all 4 atoms:
Sc (0.0000, 0.0000, 0.0000)  4 Ni 2.68, 4 Fe 2.68
Ni (0.2500, 0.2500, 0.2500)  4 Sc 2.68, 4 Ta 2.68
Fe (0.7500, 0.7500, 0.7500)  4 Ta 2.68, 4 Sc 2.68
Ta (0.5000, 0.5000, 0.5000)  4 Fe 2.68, 4 Ni 2.68

Summary:
formation energy	-194	meV per atom
crystal system	cubic
calculated total energy	-8.3008	eV/atom
M_tot	0.0	Bohr magnetons per cell



No. 7
Crystalline Re2HgTe at its relaxed geometry, computed with PBE-GGA.

Cell lengths 4.4761, 2.9698, 5.9741 Å; angles 88.05, 90.00, 90.00 degrees
Last column: nearest neighbours and their distance in Å.
Fractional coordinates of all 4 atoms:
Hg (0.5000, 0.7500, 0.7500)  8 Re 2.87-3.01, 2 Hg 2.97
Re (0.0000, 0.1896, 0.9481)  1 Re 2.38
Re (0.0000, 0.3104, 0.5519)  1 Re 2.38
Te (0.5000, 0.2500, 0.2500)  4 Re 2.88, 2 Te 2.97

Summary:
crystal system	monoclinic
uncorrected formation energy	1070	meV/atom
calculated total energy	-6.0146	eV/atom
M_tot	0.0	Bohr magnetons per cell
energy above the lowest structure with this stoichiometry	705	meV/atom



No. 8
Crystalline CeZnPd4 at its relaxed geometry, computed with PBE-GGA.

Cell lengths 6.0656, 6.0656, 7.2403 Å; angles 90.00, 90.00, 90.00 degrees
Last column: nearest neighbours and their distance in Å.
Fractional coordinates of all 12 atoms:
Ce (0.5000, 0.0000, 0.5000)  8 Pd 3.28
Ce (0.0000, 0.5000, 0.5000)  8 Pd 3.28
Zn (0.5000, 0.5000, 0.0000)  6 Pd 2.32-2.37
Zn (0.0000, 0.0000, 0.0000)  6 Pd 2.32-2.37
Pd (0.6464, 0.1464, 0.0000)  2 Zn 2.32, 1 Pd 2.51
Pd (0.8536, 0.6464, 0.0000)  2 Zn 2.32, 1 Pd 2.51
Pd (0.1464, 0.3536, 0.0000)  2 Zn 2.32, 1 Pd 2.51
Pd (0.3536, 0.8536, 0.0000)  2 Zn 2.32, 1 Pd 2.51
Pd (0.0000, 0.0000, 0.3270)  1 Zn 2.37, 1 Pd 2.51
Pd (0.5000, 0.5000, 0.6730)  1 Zn 2.37, 1 Pd 2.51
Pd (0.0000, 0.0000, 0.6730)  1 Zn 2.37, 1 Pd 2.51
Pd (0.5000, 0.5000, 0.3270)  1 Zn 2.37, 1 Pd 2.51

Summary:
formation energy	26	meV per atom
crystal system	tetragonal
calculated total energy	-4.6372	eV/atom
M_tot	1.8	Bohr magnetons per cell
energy above the lowest structure with this stoichiometry	608	meV/atom



No. 9
Crystalline ZrGeSe3 at its relaxed geometry, computed with PBE-GGA.

Cell lengths 4.1720, 6.8099, 10.9948 Å; angles 90.00, 100.94, 90.00 degrees
Last column: nearest neighbours and their distance in Å.
Fractional coordinates of all 10 atoms:
Zr (0.8879, 0.9347, 0.7758)  4 Se 2.49-2.62
Zr (0.1121, 0.4347, 0.2242)  4 Se 2.49-2.62
Ge (0.3322, 0.5280, 0.6644)  6 Se 2.77-3.06
Ge (0.6678, 0.0280, 0.3356)  6 Se 2.77-3.06
Se (0.8817, 0.2995, 0.7634)  1 Zr 2.49
Se (0.1183, 0.7995, 0.2366)  1 Zr 2.49
Se (0.5630, 0.2616, 0.1260)  2 Zr 2.62, 1 Ge 2.77
Se (0.4370, 0.7616, 0.8740)  2 Zr 2.62, 1 Ge 2.77
Se (0.7836, 0.7703, 0.5672)  1 Zr 2.51
Se (0.2164, 0.2703, 0.4328)  1 Zr 2.51

Summary:
crystal system	orthorhombic
uncorrected formation energy	-702	meV/atom
calculated total energy	-5.4255	eV/atom
M_tot	0.0	Bohr magnetons per cell
energy above the lowest structure with this stoichiometry	203	meV/atom



No. 10
Crystalline BaOs2Se at its relaxed geometry, computed with PBE-GGA.

Cell lengths 3.1186, 3.1186, 8.2086 Å; angles 90.00, 90.00, 90.00 degrees
Last column: nearest neighbours and their distance in Å.
Fractional coordinates of all 4 atoms:
Ba (0.5000, 0.5000, 0.7500)  4 Ba 3.12, 8 Os 3.44
Os (0.0000, 0.0000, 0.0721)  4 Se 2.64, 1 Os 2.92
Os (0.0000, 0.0000, 0.4279)  4 Se 2.64, 1 Os 2.92
Se (0.5000, 0.5000, 0.2500)  8 Os 2.64

Summary:
crystal system	tetragonal
uncorrected formation energy	1052	meV/atom
calculated total energy	-5.9149	eV/atom
M_tot	0.0	Bohr magnetons per cell



No. 11
Crystalline Pm3Sm5As8 at its relaxed geometry, computed with PBE-GGA.

Cell lengths 8.4468, 8.4468, 8.4473 Å; angles 60.00, 60.00, 60.00 degrees
Last column: nearest neighbours and their distance in Å.
Fractional coordinates of all 16 atoms:
Pm (0.5000, 0.0000, 0.5000)  6 As 2.99
Pm (0.0000, 0.0000, 0.5000)  6 As 2.99
Pm (0.0000, 0.5000, 0.5000)  6 As 2.99
Sm (0.5000, 0.0000, 0.0000)  6 As 2.98
Sm (0.5000, 0.5000, 0.0000)  6 As 2.98
Sm (0.0000, 0.0000, 0.0000)  6 As 2.99
Sm (0.0000, 0.5000, 0.0000)  6 As 2.98
Sm (0.5000, 0.5000, 0.5000)  6 As 2.99
As (0.2500, 0.2500, 0.7510)  4 Sm 2.98-2.99, 2 Pm 2.99
As (0.2500, 0.7490, 0.7510)  4 Sm 2.98-2.99, 2 Pm 2.99
As (0.7490, 0.2500, 0.7510)  4 Sm 2.98-2.99, 2 Pm 2.99
As (0.7495, 0.7495, 0.7514)  3 Sm 2.98, 3 Pm 2.99
As (0.7500, 0.7500, 0.2490)  4 Sm 2.98-2.99, 2 Pm 2.99
As (0.7500, 0.2510, 0.2490)  4 Sm 2.98-2.99, 2 Pm 2.99
As (0.2510, 0.7500, 0.2490)  4 Sm 2.98-2.99, 2 Pm 2.99
As (0.2505, 0.2505, 0.2486)  3 Sm 2.98, 3 Pm 2.99

Summary:
formation energy	-1528	meV per atom
crystal system	trigonal
calculated total energy	-6.2182	eV/atom
M_tot	0.0	Bohr magnetons per cell



No. 12
Crystalline PrNdGe2 at its relaxed geometry, computed with PBE-GGA.

Cell lengths 4.5021, 4.0926, 6.0132 Å; angles 90.00, 111.97, 90.00 degrees
Last column: nearest neighbours and their distance in Å.
Fractional coordinates of all 4 atoms:
Pr (0.7209, 0.0000, 0.9813)  7 Ge 3.11-3.33
Nd (0.4452, 0.5000, 0.4290)  7 Ge 3.11-3.32
Ge (0.1631, 0.5000, 0.8654)  2 Ge 2.73
Ge (0.0018, 0.0000, 0.5424)  2 Ge 2.73

Summary:
formation energy	-843	meV per atom
crystal system	orthorhombic
calculated total energy	-5.5382	eV/atom
M_tot	0.0	Bohr magnetons per cell
energy above the lowest structure with this stoichiometry	0	meV/atom